1:
Compound: Sc3Cd
Source: Alexandria via LeMat-Bulk
Functional: GGA-PBEsol
Structure: relaxed

Lattice parameters (Å, degrees): 5.5927 5.5927 5.5927 90.00 90.00 90.00
Fractional coordinates of all 8 atoms:
Sc (0.2500, 0.5000, 0.0000)
Sc (0.0000, 0.2500, 0.5000)
Sc (0.0000, 0.7500, 0.5000)
Sc (0.5000, 0.0000, 0.2500)
Sc (0.7500, 0.5000, 0.0000)
Sc (0.5000, 0.0000, 0.7500)
Cd (0.5000, 0.5000, 0.5000)
Cd (0.0000, 0.0000, 0.0000)

**Crystal system**: cubic
**Space-group type**: Pm-3n, No. 223

2:
Compound: Sc3Cd
Source: Alexandria via LeMat-Bulk
Functional: GGA-PBEsol
Structure: relaxed

Lattice parameters (Å, degrees): 6.2712 6.2712 6.2712 91.27 119.08 119.47
Fractional coordinates of all 8 atoms:
Cd (0.0000, 0.2500, 0.2500)
Cd (0.0000, 0.7500, 0.7500)
Sc (0.5000, 0.7253, 0.7253)
Sc (0.4514, 0.2014, 0.7500)
Sc (0.5486, 0.7986, 0.2500)
Sc (0.5000, 0.2747, 0.2747)
Sc (0.0000, 0.7253, 0.2253)
Sc (0.0000, 0.2747, 0.7747)

**Crystal system**: orthorhombic
**Space-group type**: Imma, No. 74

3:
Compound: Sc3Cd
Source: Alexandria via LeMat-Bulk
Functional: GGA-PBEsol
Structure: relaxed

Lattice parameters (Å, degrees): 4.9960 4.9960 4.9960 60.00 60.00 60.00
Fractional coordinates of all 4 atoms:
Sc (0.2500, 0.2500, 0.2500)
Sc (0.7500, 0.7500, 0.7500)
Sc (0.5000, 0.5000, 0.5000)
Cd (0.0000, 0.0000, 0.0000)

**Crystal system**: cubic
**Space-group type**: Fm-3m, No. 225

4:
Compound: Sc3Cd
Source: Alexandria via LeMat-Bulk
Functional: GGA-PBEsol
Structure: relaxed

Lattice parameters (Å, degrees): 5.3287 5.3287 5.3287 90.00 90.00 90.00
Fractional coordinates of all 4 atoms:
Sc (0.5000, 0.0000, 0.0000)
Sc (0.0000, 0.5000, 0.0000)
Sc (0.0000, 0.0000, 0.5000)
Cd (0.0000, 0.0000, 0.0000)

**Crystal system**: cubic
**Space-group type**: Pm-3m, No. 221

Most stable: 2. Least stable: 4.

1:
Compound: Sc5Cd
Source: Alexandria via LeMat-Bulk
Functional: GGA-PBEsol
Structure: relaxed

Lattice parameters (Å, degrees): 5.0940 5.5573 5.5573 120.00 90.00 90.00
Fractional coordinates of all 6 atoms:
Sc (0.5000, 0.6667, 0.3333)
Sc (0.0000, 0.3216, 0.3216)
Sc (0.5000, 0.3333, 0.6667)
Sc (0.0000, 0.6784, 0.0000)
Sc (0.0000, 0.0000, 0.6784)
Cd (0.5000, 0.0000, 0.0000)

**Crystal system**: hexagonal
**Space-group type**: P-62m, No. 189

2:
Compound: Sc5Cd
Source: Alexandria via LeMat-Bulk
Functional: GGA-PBEsol
Structure: relaxed

Lattice parameters (Å, degrees): 3.2373 5.9852 7.5038 103.61 90.00 105.69
Fractional coordinates of all 6 atoms:
Sc (0.3905, 0.7811, 0.2709)
Sc (0.3392, 0.6784, 0.6767)
Sc (0.0620, 0.1240, 0.6057)
Sc (0.7091, 0.4181, 0.9447)
Sc (0.6715, 0.3431, 0.3362)
Cd (0.9943, 0.9886, 0.9991)

**Crystal system**: monoclinic
**Space-group type**: Cm, No. 8

Most stable: 2. Least stable: 1.

1:
Compound: Sc5Cd
Source: Alexandria via LeMat-Bulk
Functional: GGA-PBEsol
Structure: relaxed

Lattice parameters (Å, degrees): 3.2269 3.2269 13.0829 90.00 90.00 90.00
Fractional coordinates of all 6 atoms:
Sc (0.0000, 0.0000, 0.0000)
Sc (0.5000, 0.5000, 0.8278)
Sc (0.5000, 0.5000, 0.1722)
Sc (0.0000, 0.0000, 0.3445)
Sc (0.0000, 0.0000, 0.6555)
Cd (0.5000, 0.5000, 0.5000)

**Crystal system**: tetragonal
**Space-group type**: P4/mmm, No. 123

2:
Compound: Sc5Cd
Source: Alexandria via LeMat-Bulk
Functional: GGA-PBEsol
Structure: relaxed

Lattice parameters (Å, degrees): 3.2801 5.0092 8.4304 90.00 101.22 90.00
Fractional coordinates of all 6 atoms:
Sc (0.6706, 0.0000, 0.3413)
Sc (0.3372, 0.0000, 0.6744)
Sc (0.2228, 0.5000, 0.4455)
Sc (0.5484, 0.5000, 0.0967)
Sc (0.8874, 0.5000, 0.7748)
Cd (0.0003, 0.0000, 0.0006)

**Crystal system**: orthorhombic
**Space-group type**: Amm2, No. 38

Most stable: 1. Least stable: 2.

1:
Compound: Sc5Cd3
Source: Alexandria via LeMat-Bulk
Functional: GGA-PBEsol
Structure: relaxed

Lattice parameters (Å, degrees): 5.4073 8.5058 8.5058 84.20 71.47 71.47
Fractional coordinates of all 16 atoms:
Sc (0.4190, 0.3025, 0.8595)
Sc (0.2215, 0.6975, 0.8595)
Sc (0.0810, 0.1405, 0.6975)
Sc (0.2500, 0.5000, 0.5000)
Sc (0.2785, 0.1405, 0.3025)
Sc (0.5810, 0.6975, 0.1405)
Sc (0.7500, 0.5000, 0.5000)
Sc (0.7215, 0.8595, 0.6975)
Sc (0.9190, 0.8595, 0.3025)
Sc (0.7785, 0.3025, 0.1405)
Cd (0.7500, 0.0000, 0.0000)
Cd (0.3350, 0.8301, 0.5000)
Cd (0.6650, 0.1699, 0.5000)
Cd (0.2500, 0.0000, 0.0000)
Cd (0.1650, 0.5000, 0.1699)
Cd (0.8350, 0.5000, 0.8301)

**Crystal system**: tetragonal
**Space-group type**: I4/mcm, No. 140

2:
Compound: Sc5Cd3
Source: Alexandria via LeMat-Bulk
Functional: GGA-PBEsol
Structure: relaxed

Lattice parameters (Å, degrees): 4.6416 6.1464 6.1464 97.95 90.00 90.00
Fractional coordinates of all 8 atoms:
Sc (0.5000, 0.7310, 0.7310)
Sc (0.0000, 0.0000, 0.5000)
Sc (0.0000, 0.0000, 0.0000)
Sc (0.5000, 0.2690, 0.2690)
Sc (0.0000, 0.5000, 0.0000)
Cd (0.5000, 0.7707, 0.2293)
Cd (0.5000, 0.2293, 0.7707)
Cd (0.0000, 0.5000, 0.5000)

**Crystal system**: orthorhombic
**Space-group type**: Cmmm, No. 65

Most stable: 2. Least stable: 1.